Entry 1:
{
  "formula": "LaReAg2",
  "functional": "PBE-GGA",
  "state": "optimized geometry",
  "lattice": [[2.930, 0.000, 0.000], [0.000, 4.629, 0.000], [0.000, 0.000, 5.928]],
  "species": ["La", "Re", "Ag", "Ag"],
  "frac_coords": [[0.000, 0.000, 0.000], [0.000, 0.000, 0.500], [0.500, 0.500, 0.276], [0.500, 0.500, 0.724]],
  "dos_ef_per_ev_cell": 5.5,
  "dft_energy_ev_per_fu": -20.96,
  "formation_energy_mev_per_atom": 530.7,
  "relative_energy_mev_per_atom": 111,
  "vol_a3_per_cell": 80.39
}

Entry 2:
{
  "formula": "LaRe2Ag",
  "functional": "PBE-GGA",
  "state": "optimized geometry",
  "lattice": [[3.141, 0.000, 0.000], [0.000, 4.799, 0.000], [0.000, 0.000, 10.013]],
  "species": ["La", "La", "Re", "Re", "Re", "Re", "Ag", "Ag"],
  "frac_coords": [[0.000, 0.000, 0.000], [0.500, 0.500, 0.000], [0.000, 0.000, 0.535], [0.000, 0.500, 0.738], [0.500, 0.000, 0.738], [0.500, 0.500, 0.535], [0.000, 0.500, 0.293], [0.500, 0.000, 0.293]],
  "dos_ef_per_ev_cell": 5.4,
  "dft_energy_ev_per_fu": -30.48,
  "formation_energy_mev_per_atom": 548.3,
  "relative_energy_mev_per_atom": 322,
  "vol_a3_per_cell": 150.92
}

Entry 3:
{
  "formula": "LaRe2Ag",
  "functional": "PBE-GGA",
  "state": "optimized geometry",
  "lattice": [[4.049, 0.000, 0.000], [0.000, 4.049, 0.000], [0.000, 0.000, 9.660]],
  "species": ["La", "La", "Re", "Re", "Re", "Re", "Ag", "Ag"],
  "frac_coords": [[0.000, 0.000, 0.000], [0.500, 0.500, 0.500], [0.000, 0.500, 0.250], [0.000, 0.500, 0.750], [0.500, 0.000, 0.250], [0.500, 0.000, 0.750], [0.000, 0.000, 0.500], [0.500, 0.500, 0.000]],
  "dos_ef_per_ev_cell": 8.3,
  "dft_energy_ev_per_fu": -29.11,
  "formation_energy_mev_per_atom": 892.2,
  "relative_energy_mev_per_atom": 666,
  "vol_a3_per_cell": 158.35
}